DFT (GGA-PBE) results for crystalline SrY3Ru at its relaxed geometry.

The value obtained for the formation energy is -43 meV/atom. The value obtained for the energy above the most stable polymorph in this dataset is 0.670 eV/f.u. Its density of states at the Fermi level is 14.4 states/eV/cell. The value obtained for the magnetization is 0.00 μB/cell.

It has space group Pmmn (No. 59, origin choice 2), with a = 5.126 Å, b = 7.329 Å, c = 8.130 Å, α = 90.00°, β = 90.00° and γ = 90.00°. The asymmetric unit holds Sr at (0.250, 0.250, 0.218), Y at (0.250, 0.028, 0.647), Y at (0.250, 0.750, 0.085) and Ru at (0.250, 0.750, 0.404).



DFT (GGA-PBE) results for crystalline Ba2TaCuS6 at its relaxed geometry.

Its density of states at the Fermi level is 4.1 states/eV/cell. As for the uncorrected formation energy: -1130 kJ/mol of formula units. The value obtained for the magnetization is 0.00 μB/cell.

It has space group P-3m1 (No. 164), with a = 6.7575 Å, b = 6.7575 Å, c = 5.8236 Å, α = 90.00°, β = 90.00° and γ = 120.00°. The asymmetric unit holds Ba at (0.3333, 0.6667, 0.2714), Ta at (0.0000, 0.0000, 0.0000), Cu at (0.0000, 0.0000, 0.5000) and S at (0.1678, 0.3356, 0.7463).



DFT (GGA-PBE) results for crystalline PmSmZnIn at its relaxed geometry.

The value obtained for the formation energy is -391 meV/atom. The value obtained for the energy above the most stable polymorph in this dataset is 0.072 eV/f.u. Its density of states at the Fermi level is 18.7 states/eV/cell. The value obtained for the magnetization is 0.00 μB/cell.

It has space group F-43m (No. 216), with a = 7.535 Å, b = 7.535 Å, c = 7.535 Å, α = 90.00°, β = 90.00° and γ = 90.00°. The asymmetric unit holds Pm at (0.000, 0.000, 0.000), Sm at (0.000, 0.000, 0.500), Zn at (0.250, 0.250, 0.250) and In at (0.250, 0.250, 0.750).



DFT (GGA-PBE) results for crystalline HIrOsBr2 at its relaxed geometry.

Its electronic total energy is -19.29 eV for the cell shown. Its density of states at the Fermi level is 5.5 states/eV/cell. The value obtained for the magnetization is 0.00 μB/cell.

It has space group P4/mmm (No. 123), with a = 4.693 Å, b = 4.693 Å, c = 3.396 Å, α = 90.00°, β = 90.00° and γ = 90.00°. The asymmetric unit holds H at (0.000, 0.000, 0.000), Ir at (0.000, 0.000, 0.500), Os at (0.500, 0.500, 0.500) and Br at (0.000, 0.500, 0.000).